Record 1
First-principles (PBE) data for a relaxed CsHIr2 crystal, as listed in the Alexandria database.

Calculated values
Space-group type: Fm-3m (225)
Density, g/cm³: 12.38

Unit cell a=4.6159 b=4.6159 c=4.6159 alpha=60.00 beta=60.00 gamma=60.00
With the nearest neighbours (Å) after each atom.
Element x y z (fractional)
Cs1 0.5000 0.5000 0.5000  8 Ir 2.83
H1 0.0000 0.0000 0.0000  8 Ir 2.83
Ir1 0.2500 0.2500 0.2500  4 H 2.83, 4 Cs 2.83
Ir2 0.7500 0.7500 0.7500  4 H 2.83, 4 Cs 2.83

Record 2
First-principles (PBE) data for a relaxed LiAlAg2 crystal, as listed in the Alexandria database.

Calculated values
Space-group type: Cm (8)
Formation energy from the elements, meV per atom: -119.5
Density, g/cm³: 6.23

Unit cell a=2.9276 b=2.9276 c=9.1572 alpha=80.33 beta=80.33 gamma=59.84
With the nearest neighbours (Å) after each atom.
Element x y z (fractional)
Li1 0.6666 0.6666 0.0001  6 Ag 2.80-2.83, 6 Li 2.92-2.93
Al1 0.5000 0.5000 0.4999  6 Ag 2.79-2.80, 6 Al 2.92-2.93
Ag1 0.0811 0.0811 0.7482  3 Al 2.80, 3 Li 2.80-2.83, 6 Ag 2.92-2.93
Ag2 0.2523 0.2523 0.2517  3 Al 2.79-2.80, 3 Li 2.80-2.83, 6 Ag 2.92-2.93

Record 3
First-principles (PBE) data for a relaxed IrPd4Pt4 crystal, as listed in the Alexandria database.

Calculated values
Space-group type: I4/mmm (139)
Formation energy from the elements, meV per atom: 27.1
Density, g/cm³: 16.79

Unit cell a=3.9672 b=6.2289 c=6.2289 alpha=84.18 beta=71.43 gamma=71.43
With the nearest neighbours (Å) after each atom.
Element x y z (fractional)
Ir1 0.0000 0.0000 0.0000  4 Pd 2.77, 8 Pt 2.78
Pd1 0.0000 0.6682 0.3318  1 Ir 2.77, 6 Pt 2.79-2.80, 5 Pd 2.81
Pd2 0.0000 0.3318 0.6682  1 Ir 2.77, 6 Pt 2.79-2.80, 5 Pd 2.81
Pd3 0.6682 0.3318 0.3318  1 Ir 2.77, 6 Pt 2.79-2.80, 5 Pd 2.81
Pd4 0.3318 0.6682 0.6682  1 Ir 2.77, 6 Pt 2.79-2.80, 5 Pd 2.81
Pt1 0.3349 0.3303 0.0000  4 Pt 2.76-2.82, 2 Ir 2.78, 6 Pd 2.79-2.80
Pt2 0.6651 0.6697 0.0000  4 Pt 2.76-2.82, 2 Ir 2.78, 6 Pd 2.79-2.80
Pt3 0.6651 0.0000 0.6697  4 Pt 2.76-2.82, 2 Ir 2.78, 6 Pd 2.79-2.80
Pt4 0.3349 0.0000 0.3303  4 Pt 2.76-2.82, 2 Ir 2.78, 6 Pd 2.79-2.80

Record 4
First-principles (PBE) data for a relaxed Te2IrBrN crystal, as listed in the Alexandria database.

Calculated values
Space-group type: P4/mmm (123)
Formation energy (no corrections), eV/atom: 0.39
Density, g/cm³: 7.69

Unit cell a=5.6615 b=5.6615 c=3.6480 alpha=90.00 beta=90.00 gamma=90.00
With the nearest neighbours (Å) after each atom.
Element x y z (fractional)
Ir1 0.0000 0.0000 0.0000  2 N 1.82
Te1 0.0000 0.5000 0.0000  2 Ir 2.83
Te2 0.5000 0.0000 0.0000  2 Ir 2.83
Br1 0.5000 0.5000 0.5000  8 Te 3.37, 2 Br 3.65
N1 0.0000 0.0000 0.5000  2 Ir 1.82

Record 5
First-principles (PBE) data for a relaxed Ce2Dy2Th crystal, as listed in the Alexandria database.

Calculated values
Space-group type: C2/m (12)
Formation energy from the elements, meV per atom: 88.9
Density, g/cm³: 9.19

Unit cell a=4.4858 b=6.1583 c=6.3078 alpha=86.21 beta=69.17 gamma=68.64
With the nearest neighbours (Å) after each atom.
Element x y z (fractional)
Ce1 0.6427 0.1413 0.5732  2 Ce 2.86
Ce2 0.3573 0.8587 0.4268  2 Ce 2.86
Dy1 0.8147 0.5745 0.7961  3 Dy 3.44-3.53, 3 Th 3.46-3.59, 5 Ce 3.53-3.60
Dy2 0.1853 0.4255 0.2039  3 Dy 3.44-3.53, 3 Th 3.46-3.59, 5 Ce 3.53-3.60
Th1 0.0000 0.0000 0.0000  6 Ce 3.42-3.51, 6 Dy 3.46-3.59

Record 6
First-principles (PBE) data for a relaxed KMg2InCl6 crystal, as listed in the Alexandria database.

Calculated values
Space-group type: C2/c (15)
Formation energy (no corrections), eV/atom: -1.64
Density, g/cm³: 2.08

Unit cell a=7.1840 b=9.6928 c=9.6928 alpha=86.86 beta=82.68 gamma=82.68
With the nearest neighbours (Å) after each atom.
Element x y z (fractional)
K1 0.2500 0.2961 0.7039  6 Cl 3.11-3.38
K2 0.7500 0.7039 0.2961  6 Cl 3.11-3.38
Mg1 0.2258 0.7949 0.6183  4 Cl 2.31-2.42
Mg2 0.2742 0.3817 0.2051  4 Cl 2.31-2.42
Mg3 0.7742 0.2051 0.3817  4 Cl 2.31-2.42
Mg4 0.7258 0.6183 0.7949  4 Cl 2.31-2.42
In1 0.2500 0.9028 0.0972  6 Cl 3.10-3.28
In2 0.7500 0.0972 0.9028  6 Cl 3.10-3.28
Cl1 0.1672 0.9743 0.7739  1 Mg 2.33
Cl2 0.3328 0.2261 0.0257  1 Mg 2.33
Cl3 0.8328 0.0257 0.2261  1 Mg 2.33
Cl4 0.6672 0.7739 0.9743  1 Mg 2.33
Cl5 0.3561 0.8619 0.3979  1 Mg 2.31
Cl6 0.1439 0.6021 0.1381  1 Mg 2.31
Cl7 0.6439 0.1381 0.6021  1 Mg 2.31
Cl8 0.8561 0.3979 0.8619  1 Mg 2.31
Cl9 0.9370 0.6961 0.5994  2 Mg 2.42
Cl10 0.5630 0.4006 0.3039  2 Mg 2.42
Cl11 0.0630 0.3039 0.4006  2 Mg 2.42
Cl12 0.4370 0.5994 0.6961  2 Mg 2.42

Record 7
First-principles (PBE) data for a relaxed ScCrPd6 crystal, as listed in the Alexandria database.

Calculated values
Space-group type: P4/mmm (123)
Formation energy from the elements, meV per atom: -446.4
Density, g/cm³: 9.83

Unit cell a=3.9565 b=3.9565 c=7.9364 alpha=90.00 beta=90.00 gamma=90.00
With the nearest neighbours (Å) after each atom.
Element x y z (fractional)
Sc1 0.0000 0.0000 0.0000  12 Pd 2.80-2.84
Cr1 0.0000 0.0000 0.5000  12 Pd 2.77-2.80
Pd1 0.5000 0.5000 0.0000  4 Sc 2.80, 8 Pd 2.84
Pd2 0.5000 0.5000 0.5000  8 Pd 2.77, 4 Cr 2.80
Pd3 0.5000 0.0000 0.2563  2 Cr 2.77, 8 Pd 2.77-2.84, 2 Sc 2.84
Pd4 0.5000 0.0000 0.7437  8 Pd 2.77-2.84, 2 Cr 2.77, 2 Sc 2.84
Pd5 0.0000 0.5000 0.2563  2 Cr 2.77, 8 Pd 2.77-2.84, 2 Sc 2.84
Pd6 0.0000 0.5000 0.7437  2 Cr 2.77, 8 Pd 2.77-2.84, 2 Sc 2.84

Record 8
First-principles (PBE) data for a relaxed SmBr3 crystal, as listed in the Alexandria database.

Calculated values
Space-group type: Imm2 (44)
Formation energy (no corrections), eV/atom: -1.84
Density, g/cm³: 3.97

Unit cell a=3.8541 b=7.2760 c=7.1227 alpha=120.71 beta=105.70 gamma=90.00
With the nearest neighbours (Å) after each atom.
Element x y z (fractional)
Br1 0.3399 0.7333 0.6798  2 Sm 2.89
Br2 0.5000 0.3374 0.0000  2 Sm 2.88
Br3 0.6601 0.0536 0.3202  2 Sm 2.89
Sm1 0.0000 0.0424 0.0000  6 Br 2.88-2.89

Record 9
First-principles (PBE) data for a relaxed InSn6Te8 crystal, as listed in the Alexandria database.

Calculated values
Space-group type: R-3 (148)
Formation energy (no corrections), eV/atom: -0.18
Density, g/cm³: 5.80

Unit cell a=8.2124 b=8.2124 c=8.2124 alpha=79.53 beta=79.53 gamma=79.53
With the nearest neighbours (Å) after each atom.
Element x y z (fractional)
In1 0.0000 0.0000 0.0000  6 Te 3.06
Sn1 0.6218 0.3816 0.8737  3 Te 2.96-2.99, 1 Sn 3.26
Sn2 0.3816 0.8737 0.6218  3 Te 2.96-2.99, 1 Sn 3.26
Sn3 0.8737 0.6218 0.3816  3 Te 2.96-2.99, 1 Sn 3.26
Sn4 0.3782 0.6184 0.1263  3 Te 2.96-2.99, 1 Sn 3.26
Sn5 0.6184 0.1263 0.3782  3 Te 2.96-2.99, 1 Sn 3.26
Sn6 0.1263 0.3782 0.6184  3 Te 2.96-2.99, 1 Sn 3.26
Te1 0.7159 0.7159 0.7159  3 Sn 2.99
Te2 0.2841 0.2841 0.2841  3 Sn 2.99
Te3 0.6716 0.8694 0.1556  2 Sn 2.96-2.98, 1 In 3.06
Te4 0.8694 0.1556 0.6716  2 Sn 2.96-2.98, 1 In 3.06
Te5 0.1556 0.6716 0.8694  2 Sn 2.96-2.98, 1 In 3.06
Te6 0.3284 0.1306 0.8444  2 Sn 2.96-2.98, 1 In 3.06
Te7 0.1306 0.8444 0.3284  2 Sn 2.96-2.98, 1 In 3.06
Te8 0.8444 0.3284 0.1306  2 Sn 2.96-2.98, 1 In 3.06

Record 10
First-principles (PBE) data for a relaxed SrCuSi2 crystal, as listed in the Alexandria database.

Calculated values
Space-group type: P4/mmm (123)
Formation energy (no corrections), eV/atom: 0.24
Density, g/cm³: 4.42

Unit cell a=4.2030 b=4.2049 c=4.4046 alpha=90.00 beta=90.00 gamma=90.00
With the nearest neighbours (Å) after each atom.
Element x y z (fractional)
Cu1 0.0000 0.5000 0.5000  4 Sr 2.97, 8 Si 3.04
Si1 0.0000 0.0000 0.0000  4 Si 2.97, 4 Sr 3.04, 4 Cu 3.04
Si2 0.5000 0.5000 0.0000  4 Si 2.97, 4 Cu 3.04, 4 Sr 3.04
Sr1 0.5000 0.0000 0.5000  4 Cu 2.97, 8 Si 3.04

Record 11
First-principles (PBE) data for a relaxed KMg2Sb2 crystal, as listed in the Alexandria database.

Calculated values
Space-group type: I4/mmm (139)
Formation energy (no corrections), eV/atom: -0.44
Density, g/cm³: 3.57

Unit cell a=4.8242 b=4.8242 c=7.4458 alpha=71.10 beta=71.10 gamma=90.00
With the nearest neighbours (Å) after each atom.
Element x y z (fractional)
Sb1 0.3737 0.3737 0.2525  4 Mg 2.92
Sb2 0.6263 0.6263 0.7475  4 Mg 2.92
K1 0.0000 0.0000 0.0000  8 Sb 3.80, 8 Mg 4.09
Mg1 0.7500 0.2500 0.5000  4 Sb 2.92
Mg2 0.2500 0.7500 0.5000  4 Sb 2.92

Record 12
First-principles (PBE) data for a relaxed Nd11Ho9Th4 crystal, as listed in the Alexandria database.

Calculated values
Space-group type: Cmmm (65)
Formation energy from the elements, meV per atom: 114.2
Density, g/cm³: 8.15

Unit cell a=3.7043 b=15.4521 c=15.4521 alpha=112.90 beta=90.00 gamma=90.00
With the nearest neighbours (Å) after each atom.
Element x y z (fractional)
Nd1 0.0000 0.5918 0.9545  2 Th 3.40, 6 Ho 3.55-3.74, 3 Nd 3.62-3.70
Nd2 0.0000 0.4082 0.0455  2 Th 3.40, 6 Ho 3.55-3.74, 3 Nd 3.62-3.70
Nd3 0.0000 0.9545 0.5918  2 Th 3.40, 6 Ho 3.55-3.74, 3 Nd 3.62-3.70
Nd4 0.0000 0.0455 0.4082  2 Th 3.40, 6 Ho 3.55-3.74, 3 Nd 3.62-3.70
Nd5 0.0000 0.6323 0.3677  4 Th 3.35, 4 Ho 3.67, 2 Nd 3.70
Nd6 0.0000 0.3677 0.6323  4 Th 3.35, 4 Ho 3.67, 2 Nd 3.70
Nd7 0.0000 0.8418 0.1582  5 Nd 3.70-4.07, 8 Ho 3.73
Nd8 0.0000 0.1582 0.8418  5 Nd 3.70-4.07, 8 Ho 3.73
Nd9 0.0000 0.0000 0.0000  8 Ho 3.54, 2 Nd 3.70
Nd10 0.0000 0.7072 0.7072  4 Th 3.33, 2 Nd 3.70, 4 Ho 3.72
Nd11 0.0000 0.2928 0.2928  4 Th 3.33, 2 Nd 3.70, 4 Ho 3.72
Ho1 0.5000 0.6345 0.1634  3 Ho 3.45-3.70, 8 Nd 3.55-3.74, 1 Th 3.57
Ho2 0.5000 0.3655 0.8366  3 Ho 3.45-3.70, 8 Nd 3.55-3.74, 1 Th 3.57
Ho3 0.5000 0.1634 0.6345  3 Ho 3.45-3.70, 8 Nd 3.55-3.74, 1 Th 3.57
Ho4 0.5000 0.8366 0.3655  3 Ho 3.45-3.70, 8 Nd 3.55-3.74, 1 Th 3.57
Ho5 0.5000 0.7885 0.9335  8 Nd 3.54-3.73, 1 Th 3.57, 3 Ho 3.70-3.73
Ho6 0.5000 0.2115 0.0665  8 Nd 3.54-3.73, 1 Th 3.57, 3 Ho 3.70-3.73
Ho7 0.5000 0.9335 0.7885  8 Nd 3.54-3.73, 1 Th 3.57, 3 Ho 3.70-3.73
Ho8 0.5000 0.0665 0.2115  8 Nd 3.54-3.73, 1 Th 3.57, 3 Ho 3.70-3.73
Ho9 0.5000 0.5000 0.5000  2 Ho 3.70, 4 Th 3.75, 8 Nd 3.88-3.99
Th1 0.5000 0.5549 0.7590  6 Nd 3.33-3.40, 2 Ho 3.57, 2 Th 3.70
Th2 0.5000 0.4451 0.2410  6 Nd 3.33-3.40, 2 Ho 3.57, 2 Th 3.70
Th3 0.5000 0.7590 0.5549  6 Nd 3.33-3.40, 2 Ho 3.57, 2 Th 3.70
Th4 0.5000 0.2410 0.4451  6 Nd 3.33-3.40, 2 Ho 3.57, 2 Th 3.70

Number 1: size of the total moment 0.00 μB/f.u., N(E_F) 2.3 states/eV/f.u., uncorrected energy -0.1171 hartree per atom. Number 2: size of the total moment 0.00 μB/f.u., N(E_F) 0.8 states/eV/f.u., uncorrected energy -0.1087 hartree per atom. Number 3: size of the total moment 0.01 μB/f.u., N(E_F) 22.1 states/eV/f.u., uncorrected energy -0.2187 hartree per atom. Number 4: size of the total moment 0.00 μB/f.u., N(E_F) 4.0 states/eV/f.u., uncorrected energy -0.1705 hartree per atom. Number 5: size of the total moment 0.00 μB/f.u., N(E_F) 11.4 states/eV/f.u., uncorrected energy -0.2061 hartree per atom. Number 6: size of the total moment 0.00 μB/f.u., N(E_F) 0.0 states/eV/f.u., uncorrected energy -0.1268 hartree per atom. Number 7: size of the total moment 2.72 μB/f.u., N(E_F) 11.5 states/eV/f.u., uncorrected energy -0.2328 hartree per atom. Number 8: size of the total moment 0.00 μB/f.u., N(E_F) 0.0 states/eV/f.u., uncorrected energy -0.1570 hartree per atom. Number 9: size of the total moment 0.00 μB/f.u., N(E_F) 6.9 states/eV/f.u., uncorrected energy -0.1338 hartree per atom. Number 10: size of the total moment 0.00 μB/f.u., N(E_F) 2.4 states/eV/f.u., uncorrected energy -0.1440 hartree per atom. Number 11: size of the total moment 0.00 μB/f.u., N(E_F) 2.7 states/eV/f.u., uncorrected energy -0.1083 hartree per atom. Number 12: size of the total moment 0.00 μB/f.u., N(E_F) 34.4 states/eV/f.u., uncorrected energy -0.1846 hartree per atom.